DFT (GGA-PBEsol) results for BeTc2Te after structural relaxation.

Unit cell a=4.2950 b=4.2950 c=4.2950 alpha=60.00 beta=60.00 gamma=60.00
Last column: nearest neighbours and their distance in Å.
Fractional positions:
Be  0.0000  0.0000  0.0000  8 Tc 2.63
Tc  0.2500  0.2500  0.2500  4 Be 2.63, 4 Te 2.63
Tc  0.7500  0.7500  0.7500  4 Te 2.63, 4 Be 2.63
Te  0.5000  0.5000  0.5000  8 Tc 2.63

Calculated values
The magnetic moment comes out at 0.000 μB per atom. As for the uncorrected formation energy: 20 kJ/mol of atoms. The calculation puts the energy above the most stable polymorph in this dataset at 0 meV per atom.